Entry 1:
# Rb2WI2Br4 | the Alexandria database | GGA-PBE | relaxed
# - Calculated volume: 342.3 Å³ per cell
# - Energy relative to the elements, uncorrected: -21.4 kcal/mol of atoms
data_Rb2WI2Br4
_chemical_formula_sum 'Rb2 W1 I2 Br4'
_space_group_name_H-M_alt 'P 1'
_space_group_IT_number 1
_cell_length_a 7.801
_cell_length_b 7.862
_cell_length_c 7.862
_cell_angle_alpha 59.10
_cell_angle_beta 60.74
_cell_angle_gamma 60.74
loop_
_space_group_symop_operation_xyz
'x,y,z'
loop_
_atom_site_label
_atom_site_type_symbol
_atom_site_fract_x
_atom_site_fract_y
_atom_site_fract_z
Br1 Br 0.284 0.752 0.217
Br2 Br 0.284 0.217 0.752
Br3 Br 0.716 0.783 0.248
Br4 Br 0.716 0.248 0.783
Rb1 Rb 0.272 0.748 0.748
Rb2 Rb 0.728 0.252 0.252
I1 I 0.224 0.245 0.245
I2 I 0.776 0.755 0.755
W1 W 0.500 0.000 0.000

=====

Entry 2:
# RbYIBr2 | the Alexandria database | GGA-PBE | relaxed
# - Calculated volume: 195.4 Å³ per cell
# - Energy relative to the elements, uncorrected: -33.4 kcal/mol of atoms
data_RbYIBr2
_chemical_formula_sum 'Rb1 Y1 I1 Br2'
_space_group_name_H-M_alt 'P 1'
_space_group_IT_number 1
_cell_length_a 5.662
_cell_length_b 5.662
_cell_length_c 6.094
_cell_angle_alpha 90.00
_cell_angle_beta 90.00
_cell_angle_gamma 90.00
loop_
_space_group_symop_operation_xyz
'x,y,z'
loop_
_atom_site_label
_atom_site_type_symbol
_atom_site_fract_x
_atom_site_fract_y
_atom_site_fract_z
Br1 Br 0.000 0.500 0.000
Br2 Br 0.500 0.000 0.000
Rb1 Rb 0.500 0.500 0.500
Y1 Y 0.000 0.000 0.000
I1 I 0.000 0.000 0.500

=====

Entry 3:
# Rb2ZnIBr6 | the Alexandria database | GGA-PBE | relaxed
# - Calculated volume: 379.5 Å³ per cell
# - Energy relative to the elements, uncorrected: -19.5 kcal/mol of atoms
data_Rb2ZnIBr6
_chemical_formula_sum 'Rb2 Zn1 I1 Br6'
_space_group_name_H-M_alt 'P 1'
_space_group_IT_number 1
_cell_length_a 7.974
_cell_length_b 7.974
_cell_length_c 8.211
_cell_angle_alpha 60.95
_cell_angle_beta 60.95
_cell_angle_gamma 90.00
loop_
_space_group_symop_operation_xyz
'x,y,z'
loop_
_atom_site_label
_atom_site_type_symbol
_atom_site_fract_x
_atom_site_fract_y
_atom_site_fract_z
Br1 Br 0.255 0.255 0.000
Br2 Br 0.745 0.255 0.000
Br3 Br 0.296 0.296 0.408
Br4 Br 0.704 0.704 0.592
Br5 Br 0.255 0.745 0.000
Br6 Br 0.745 0.745 0.000
I1 I 0.000 0.000 0.000
Rb1 Rb 0.250 0.750 0.500
Rb2 Rb 0.750 0.250 0.500
Zn1 Zn 0.500 0.500 0.000

=====

Entry 4:
# Rb2ZnI6Br | the Alexandria database | GGA-PBE | relaxed
# - Calculated volume: 439.4 Å³ per cell
# - Energy relative to the elements, uncorrected: -13.9 kcal/mol of atoms
data_Rb2ZnI6Br
_chemical_formula_sum 'Rb2 Zn1 I6 Br1'
_space_group_name_H-M_alt 'P 1'
_space_group_IT_number 1
_cell_length_a 8.441
_cell_length_b 8.441
_cell_length_c 8.583
_cell_angle_alpha 60.55
_cell_angle_beta 60.55
_cell_angle_gamma 90.00
loop_
_space_group_symop_operation_xyz
'x,y,z'
loop_
_atom_site_label
_atom_site_type_symbol
_atom_site_fract_x
_atom_site_fract_y
_atom_site_fract_z
Br1 Br 0.000 0.000 0.000
I1 I 0.750 0.250 0.000
I2 I 0.750 0.750 0.000
I3 I 0.713 0.713 0.575
I4 I 0.250 0.750 0.000
I5 I 0.250 0.250 0.000
I6 I 0.287 0.287 0.425
Rb1 Rb 0.750 0.250 0.500
Rb2 Rb 0.250 0.750 0.500
Zn1 Zn 0.500 0.500 0.000

=====

Entry 5:
# Rb2ZrI6Br | the Alexandria database | GGA-PBE | relaxed
# - Calculated volume: 507.0 Å³ per cell
# - Energy relative to the elements, uncorrected: -21.9 kcal/mol of atoms
data_Rb2ZrI6Br
_chemical_formula_sum 'Rb2 Zr1 I6 Br1'
_space_group_name_H-M_alt 'P 1'
_space_group_IT_number 1
_cell_length_a 9.271
_cell_length_b 9.271
_cell_length_c 8.819
_cell_angle_alpha 58.29
_cell_angle_beta 58.29
_cell_angle_gamma 90.00
loop_
_space_group_symop_operation_xyz
'x,y,z'
loop_
_atom_site_label
_atom_site_type_symbol
_atom_site_fract_x
_atom_site_fract_y
_atom_site_fract_z
Zr1 Zr 0.000 0.000 0.000
I1 I 0.781 0.219 0.000
I2 I 0.754 0.754 0.492
I3 I 0.781 0.781 0.000
I4 I 0.219 0.219 0.000
I5 I 0.246 0.246 0.508
I6 I 0.219 0.781 0.000
Rb1 Rb 0.250 0.750 0.500
Rb2 Rb 0.750 0.250 0.500
Br1 Br 0.500 0.500 0.000

=====

Entry 6:
# Rb2ZrI6Br | the Alexandria database | GGA-PBE | relaxed
# - Calculated volume: 488.8 Å³ per cell
# - Energy relative to the elements, uncorrected: -24.2 kcal/mol of atoms
data_Rb2ZrI6Br
_chemical_formula_sum 'Rb2 Zr1 I6 Br1'
_space_group_name_H-M_alt 'P 1'
_space_group_IT_number 1
_cell_length_a 8.539
_cell_length_b 9.810
_cell_length_c 8.547
_cell_angle_alpha 58.72
_cell_angle_beta 58.69
_cell_angle_gamma 58.09
loop_
_space_group_symop_operation_xyz
'x,y,z'
loop_
_atom_site_label
_atom_site_type_symbol
_atom_site_fract_x
_atom_site_fract_y
_atom_site_fract_z
I1 I 0.440 0.598 0.799
I2 I 0.992 0.498 0.882
I3 I 0.520 0.107 0.835
I4 I 0.027 0.498 0.348
I5 I 0.576 0.151 0.243
I6 I 0.073 0.103 0.370
Zr1 Zr 0.288 0.331 0.054
Br1 Br 0.115 0.800 0.293
Rb1 Rb 0.551 0.498 0.351
Rb2 Rb 0.081 0.077 0.841

=====

Entry 7:
# RbZrIBr2 | the Alexandria database | GGA-PBE | relaxed
# - Calculated volume: 261.2 Å³ per cell
# - Energy relative to the elements, uncorrected: -19.6 kcal/mol of atoms
data_RbZrIBr2
_chemical_formula_sum 'Rb1 Zr1 I1 Br2'
_space_group_name_H-M_alt 'P 1'
_space_group_IT_number 1
_cell_length_a 5.275
_cell_length_b 9.388
_cell_length_c 5.275
_cell_angle_alpha 90.00
_cell_angle_beta 90.00
_cell_angle_gamma 90.00
loop_
_space_group_symop_operation_xyz
'x,y,z'
loop_
_atom_site_label
_atom_site_type_symbol
_atom_site_fract_x
_atom_site_fract_y
_atom_site_fract_z
Br1 Br 0.000 0.000 0.500
Br2 Br 0.500 0.000 0.000
I1 I 0.500 0.500 0.500
Rb1 Rb 0.000 0.500 0.000
Zr1 Zr 0.000 0.000 0.000

=====

Entry 8:
# Rb2ZrI2Br4 | the Alexandria database | GGA-PBE | relaxed
# - Calculated volume: 366.7 Å³ per cell
# - Energy relative to the elements, uncorrected: -33.9 kcal/mol of atoms
data_Rb2ZrI2Br4
_chemical_formula_sum 'Rb2 Zr1 I2 Br4'
_space_group_name_H-M_alt 'P 1'
_space_group_IT_number 1
_cell_length_a 8.029
_cell_length_b 7.988
_cell_length_c 7.988
_cell_angle_alpha 59.06
_cell_angle_beta 61.36
_cell_angle_gamma 61.36
loop_
_space_group_symop_operation_xyz
'x,y,z'
loop_
_atom_site_label
_atom_site_type_symbol
_atom_site_fract_x
_atom_site_fract_y
_atom_site_fract_z
Rb1 Rb 0.716 0.254 0.254
Rb2 Rb 0.284 0.746 0.746
I1 I 0.196 0.246 0.246
I2 I 0.804 0.754 0.754
Br1 Br 0.300 0.206 0.731
Br2 Br 0.300 0.731 0.206
Br3 Br 0.700 0.794 0.269
Br4 Br 0.700 0.269 0.794
Zr1 Zr 0.500 0.000 0.000